Entry from Alexandria: an optimized crystal structure of V2BPd (GGA-PBE).

Its raw total energy is -30.05 eV per cell. Its formation energy is 0.33 kcal/mol of atoms. The crystal system is trigonal. The density of states at the Fermi level comes out at 2.91 states/eV/cell.

a b c (Å): 2.9157 2.9157 7.4379
angles (deg): 78.70 78.70 60.00
Closest atoms and distances in Å follow each position.
Atoms (fractional coordinates):
V 0.1122 0.1122 0.6634  3 B 2.06
Pd 0.0000 0.0000 0.0000  2 V 2.44
V 0.8878 0.8878 0.3366  3 B 2.06
B 0.5000 0.5000 0.5000  6 V 2.06